No. 1
{"formula": "HfNiF2", "functional": "PBE+U", "state": "relaxed", "lattice": [[1.430, 0.826, 8.402], [-1.430, 0.826, 8.402], [0.000, -1.651, 8.402]], "species": ["Hf", "Ni", "F", "F"], "frac_coords": [[0.000, 0.000, 0.000], [0.500, 0.500, 0.500], [0.395, 0.395, 0.395], [0.605, 0.605, 0.605]], "de_polymorph_ev_per_atom": 0.000, "crystal_system": "trigonal"}



No. 2
{"formula": "HfNi3F", "functional": "PBE+U", "state": "relaxed", "lattice": [[4.545, 0.000, 0.000], [0.000, 4.545, 0.000], [0.000, 0.000, 4.545]], "species": ["Hf", "Ni", "Ni", "Ni", "F"], "frac_coords": [[0.000, 0.000, 0.000], [0.000, 0.000, 0.500], [0.000, 0.500, 0.000], [0.500, 0.000, 0.000], [0.500, 0.500, 0.500]], "de_polymorph_ev_per_atom": 1.347, "crystal_system": "cubic"}



No. 3
{"formula": "Hf2NiF", "functional": "PBE+U", "state": "relaxed", "lattice": [[-2.449, 2.449, 6.032], [2.449, -2.449, 6.032], [2.449, 2.449, -6.032]], "species": ["Hf", "Hf", "Hf", "Hf", "Ni", "Ni", "F", "F"], "frac_coords": [[0.097, 0.625, 0.972], [0.375, 0.347, 0.472], [0.653, 0.125, 0.028], [0.875, 0.903, 0.528], [0.250, 0.750, 0.500], [0.500, 0.500, 0.000], [0.000, 0.000, 0.000], [0.750, 0.250, 0.500]], "de_polymorph_ev_per_atom": 0.060, "crystal_system": "tetragonal"}



No. 4
{"formula": "Hf3NiF6", "functional": "PBE+U", "state": "relaxed", "lattice": [[5.427, -3.105, 0.000], [5.427, 3.105, 0.000], [-3.610, 0.000, 6.415]], "species": ["Hf", "Hf", "Hf", "Ni", "F", "F", "F", "F", "F", "F"], "frac_coords": [[0.000, 0.000, 0.000], [0.000, 0.500, 0.000], [0.500, 0.000, 0.000], [0.000, 0.000, 0.500], [0.087, 0.087, 0.310], [0.088, 0.635, 0.310], [0.365, 0.912, 0.690], [0.635, 0.088, 0.310], [0.912, 0.365, 0.690], [0.913, 0.913, 0.690]], "de_polymorph_ev_per_atom": 0.275, "crystal_system": "monoclinic"}



No. 5
{"formula": "HfNiOF2", "functional": "PBE+U", "state": "relaxed", "lattice": [[4.250, 0.000, 0.000], [0.000, 4.250, 0.000], [0.000, 0.000, 3.994]], "species": ["Hf", "Ni", "O", "F", "F"], "frac_coords": [[0.000, 0.000, 0.000], [0.500, 0.500, 0.500], [0.000, 0.000, 0.500], [0.000, 0.500, 0.000], [0.500, 0.000, 0.000]], "final_energy_ev_per_atom": -6.355, "crystal_system": "tetragonal"}



No. 6
{"formula": "HfNiO6F6", "functional": "PBE+U", "state": "relaxed", "lattice": [[3.926, 2.267, 3.810], [-3.926, 2.267, 3.810], [0.000, -4.534, 3.810]], "species": ["Hf", "Ni", "O", "O", "O", "O", "O", "O", "F", "F", "F", "F", "F", "F"], "frac_coords": [[0.000, 0.000, 0.000], [0.500, 0.500, 0.500], [0.206, 0.555, 0.426], [0.426, 0.206, 0.555], [0.445, 0.574, 0.794], [0.555, 0.426, 0.206], [0.574, 0.794, 0.445], [0.794, 0.445, 0.574], [0.139, 0.819, 0.741], [0.181, 0.259, 0.861], [0.259, 0.861, 0.181], [0.741, 0.139, 0.819], [0.819, 0.741, 0.139], [0.861, 0.181, 0.259]], "final_energy_ev_per_atom": -4.532, "crystal_system": "trigonal"}



No. 7
{"formula": "HfNi2PF", "functional": "PBE+U", "state": "relaxed", "lattice": [[4.190, 0.000, 0.000], [0.000, 4.190, 0.000], [0.000, 0.000, 4.014]], "species": ["Hf", "Ni", "Ni", "P", "F"], "frac_coords": [[0.000, 0.000, 0.000], [0.000, 0.500, 0.500], [0.500, 0.000, 0.500], [0.500, 0.500, 0.500], [0.500, 0.500, 0.000]], "final_energy_ev_per_atom": -4.312, "crystal_system": "tetragonal"}



No. 8
{"formula": "Rb2HfNiF6", "functional": "PBE+U", "state": "relaxed", "lattice": [[-3.183, 3.183, 5.009], [3.183, -3.183, 5.009], [3.183, 3.183, -5.009]], "species": ["Rb", "Rb", "Hf", "Ni", "F", "F", "F", "F", "F", "F"], "frac_coords": [[0.250, 0.750, 0.500], [0.750, 0.250, 0.500], [0.000, 0.000, 0.000], [0.500, 0.500, 0.000], [0.201, 0.201, 0.000], [0.223, 0.223, 0.447], [0.223, 0.777, 0.000], [0.777, 0.223, 0.000], [0.777, 0.777, 0.553], [0.799, 0.799, 0.000]], "final_energy_ev_per_atom": -5.281, "crystal_system": "tetragonal"}



No. 9
{"formula": "Hf2NiRuF", "functional": "PBE+U", "state": "relaxed", "lattice": [[4.908, 0.000, 0.000], [0.000, 4.908, 0.000], [0.000, 0.000, 4.502]], "species": ["Hf", "Hf", "Ni", "Ru", "F"], "frac_coords": [[0.000, 0.500, 0.000], [0.500, 0.000, 0.000], [0.000, 0.000, 0.500], [0.000, 0.000, 0.000], [0.500, 0.500, 0.500]], "final_energy_ev_per_atom": -6.177, "crystal_system": "tetragonal"}



No. 10
{"formula": "YHfNi2F", "functional": "PBE+U", "state": "relaxed", "lattice": [[4.828, 0.000, 0.000], [0.000, 4.828, 0.000], [0.000, 0.000, 4.022]], "species": ["Y", "Hf", "Ni", "Ni", "F"], "frac_coords": [[0.000, 0.000, 0.000], [0.500, 0.500, 0.500], [0.000, 0.500, 0.500], [0.500, 0.000, 0.500], [0.500, 0.500, 0.000]], "final_energy_ev_per_atom": -4.843, "crystal_system": "tetragonal"}



Copy entry 6 word for word.
{"formula": "HfNiO6F6", "functional": "PBE+U", "state": "relaxed", "lattice": [[3.926, 2.267, 3.810], [-3.926, 2.267, 3.810], [0.000, -4.534, 3.810]], "species": ["Hf", "Ni", "O", "O", "O", "O", "O", "O", "F", "F", "F", "F", "F", "F"], "frac_coords": [[0.000, 0.000, 0.000], [0.500, 0.500, 0.500], [0.206, 0.555, 0.426], [0.426, 0.206, 0.555], [0.445, 0.574, 0.794], [0.555, 0.426, 0.206], [0.574, 0.794, 0.445], [0.794, 0.445, 0.574], [0.139, 0.819, 0.741], [0.181, 0.259, 0.861], [0.259, 0.861, 0.181], [0.741, 0.139, 0.819], [0.819, 0.741, 0.139], [0.861, 0.181, 0.259]], "final_energy_ev_per_atom": -4.532, "crystal_system": "trigonal"}



Repeat the second record exactly.
{"formula": "HfNi3F", "functional": "PBE+U", "state": "relaxed", "lattice": [[4.545, 0.000, 0.000], [0.000, 4.545, 0.000], [0.000, 0.000, 4.545]], "species": ["Hf", "Ni", "Ni", "Ni", "F"], "frac_coords": [[0.000, 0.000, 0.000], [0.000, 0.000, 0.500], [0.000, 0.500, 0.000], [0.500, 0.000, 0.000], [0.500, 0.500, 0.500]], "de_polymorph_ev_per_atom": 1.347, "crystal_system": "cubic"}



> Number 7 is which compound?

HfNi2PF